# PuSiTc GGA-PBE optimized geometry
data_PuSiTc
_cell_length_a 7.1717
_cell_length_b 5.9063
_cell_length_c 5.5948
_cell_angle_alpha 90.00
_cell_angle_beta 111.95
_cell_angle_gamma 90.00
_space_group_name_H-M_alt 'P 1 21/c 1'
_space_group_IT_number 14
loop_
_space_group_symop_operation_xyz
'x,y,z'
'-x,-y,-z'
'-x,y+1/2,-z+1/2'
'x,-y+1/2,z+1/2'
loop_
_atom_site_label
_atom_site_type_symbol
_atom_site_fract_x
_atom_site_fract_y
_atom_site_fract_z
Pu1 Pu 0.1789 0.0734 0.2322
Si1 Si 0.2240 0.5822 0.2452
Tc1 Tc 0.4905 0.6850 0.6690
# ΔE_f (raw)	-289	meV per atom
# calculated total energy	-10.329	eV/atom